Mg6CrCdO8: relaxed, PBE with a Hubbard U.

Cell: 4.404 4.404 8.690 Å, 90.00 90.00 90.00°
Atoms (fractional coordinates):
Mg (0.000, 0.000, 0.000)
Mg (0.000, 0.000, 0.500)
Mg (0.000, 0.500, 0.245)
Mg (0.000, 0.500, 0.755)
Mg (0.500, 0.000, 0.245)
Mg (0.500, 0.000, 0.755)
Cr (0.500, 0.500, 0.000)
Cd (0.500, 0.500, 0.500)
O (0.000, 0.000, 0.250)
O (0.000, 0.000, 0.750)
O (0.000, 0.500, 0.000)
O (0.000, 0.500, 0.500)
O (0.500, 0.000, 0.000)
O (0.500, 0.000, 0.500)
O (0.500, 0.500, 0.234)
O (0.500, 0.500, 0.766)

Properties
space-group type: P4/mmm
spin magnetization: 3.9 Bohr magnetons per cell
D(E_F): 0.5 states/eV/f.u.
raw total energy: -5.87 eV per atom